## RbBiSe3 (GGA-PBEsol)

Data for a relaxed structure of RbBiSe3. Values from VASP.

Geometry as Quantum ESPRESSO input:
```
&SYSTEM
  ibrav = 0, nat = 5, ntyp = 3
/
ATOMIC_SPECIES
Se 78.96 Se.upf
Bi 208.98 Bi.upf
Rb 85.47 Rb.upf
CELL_PARAMETERS angstrom
-4.374 0.314 -3.279
-0.684 -5.418 0.393
-3.222 0.724 4.367
ATOMIC_POSITIONS crystal
Se 0.000 0.500 0.000
Se 0.000 0.000 0.500
Se 0.500 0.000 0.000
Bi 0.500 0.500 0.500
Rb 0.000 0.000 0.000
```

Calculated values
Crystal system: cubic
Raw formation energy: 1030 meV/atom
Total magnetization: 0.0 μB per cell

## RbBi3Se5 (GGA-PBEsol)

Data for a relaxed structure of RbBi3Se5. Values from VASP.

Geometry as Quantum ESPRESSO input:
```
&SYSTEM
  ibrav = 0, nat = 36, ntyp = 3
/
ATOMIC_SPECIES
Rb 85.47 Rb.upf
Bi 208.98 Bi.upf
Se 78.96 Se.upf
CELL_PARAMETERS angstrom
-2.360 -3.332 -0.611
6.138 -2.437 -10.413
14.278 -12.176 11.265
ATOMIC_POSITIONS crystal
Rb 0.250 0.490 0.213
Rb 0.750 0.510 0.787
Rb 0.750 0.990 0.287
Rb 0.250 0.010 0.713
Bi 0.250 0.364 0.025
Bi 0.750 0.636 0.975
Bi 0.750 0.864 0.475
Bi 0.250 0.136 0.525
Bi 0.250 0.803 0.127
Bi 0.750 0.197 0.873
Bi 0.750 0.303 0.373
Bi 0.250 0.697 0.627
Bi 0.250 0.592 0.424
Bi 0.750 0.408 0.576
Bi 0.750 0.092 0.076
Bi 0.250 0.908 0.924
Se 0.250 0.808 0.385
Se 0.750 0.192 0.615
Se 0.750 0.308 0.115
Se 0.250 0.692 0.885
Se 0.250 0.246 0.294
Se 0.750 0.754 0.706
Se 0.750 0.746 0.206
Se 0.250 0.254 0.794
Se 0.250 0.362 0.479
Se 0.750 0.638 0.521
Se 0.750 0.862 0.021
Se 0.250 0.138 0.979
Se 0.250 0.027 0.160
Se 0.750 0.973 0.840
Se 0.750 0.527 0.340
Se 0.250 0.473 0.660
Se 0.250 0.585 0.066
Se 0.750 0.415 0.934
Se 0.750 0.085 0.434
Se 0.250 0.915 0.566
```

Calculated values
Crystal system: orthorhombic
Raw formation energy: -567 meV/atom
Total magnetization: 0.0 μB per cell

## Rb2Bi4Se7 (GGA-PBEsol)

Data for a relaxed structure of Rb2Bi4Se7. Values from VASP.

Geometry as Quantum ESPRESSO input:
```
&SYSTEM
  ibrav = 0, nat = 26, ntyp = 3
/
ATOMIC_SPECIES
Rb 85.47 Rb.upf
Bi 208.98 Bi.upf
Se 78.96 Se.upf
CELL_PARAMETERS angstrom
4.195 0.000 0.000
0.000 12.969 -0.007
0.000 -0.742 15.060
ATOMIC_POSITIONS crystal
Rb 0.250 0.566 0.188
Rb 0.750 0.434 0.812
Rb 0.750 0.826 0.377
Rb 0.250 0.174 0.623
Bi 0.250 0.835 0.721
Bi 0.750 0.165 0.279
Bi 0.750 0.606 0.572
Bi 0.250 0.394 0.428
Bi 0.750 0.727 0.953
Bi 0.250 0.273 0.047
Bi 0.250 0.941 0.123
Bi 0.750 0.059 0.877
Se 0.250 0.588 0.966
Se 0.750 0.412 0.034
Se 0.750 0.993 0.697
Se 0.250 0.007 0.303
Se 0.750 0.689 0.760
Se 0.250 0.311 0.240
Se 0.750 0.787 0.144
Se 0.250 0.213 0.856
Se 0.250 0.904 0.917
Se 0.750 0.096 0.083
Se 0.250 0.759 0.541
Se 0.750 0.241 0.459
Se 0.250 0.454 0.613
Se 0.750 0.546 0.387
```

Calculated values
Crystal system: monoclinic
Raw formation energy: -637 meV/atom
Total magnetization: 0.0 μB per cell

## Rb2Bi8Se13 (GGA-PBEsol)

Data for a relaxed structure of Rb2Bi8Se13. Values from VASP.

Geometry as Quantum ESPRESSO input:
```
&SYSTEM
  ibrav = 0, nat = 46, ntyp = 3
/
ATOMIC_SPECIES
Rb 85.47 Rb.upf
Bi 208.98 Bi.upf
Se 78.96 Se.upf
CELL_PARAMETERS angstrom
4.151 0.000 0.000
0.000 13.466 -0.009
0.000 -2.845 24.636
ATOMIC_POSITIONS crystal
Rb 0.750 0.421 0.881
Rb 0.250 0.579 0.119
Rb 0.250 0.278 0.639
Rb 0.750 0.722 0.361
Bi 0.250 0.578 0.564
Bi 0.750 0.422 0.436
Bi 0.250 0.807 0.830
Bi 0.750 0.193 0.170
Bi 0.750 0.047 0.929
Bi 0.250 0.953 0.071
Bi 0.750 0.883 0.692
Bi 0.250 0.117 0.308
Bi 0.750 0.563 0.733
Bi 0.250 0.437 0.267
Bi 0.750 0.721 0.969
Bi 0.250 0.279 0.031
Bi 0.250 0.128 0.788
Bi 0.750 0.872 0.212
Bi 0.250 0.948 0.560
Bi 0.750 0.052 0.440
Se 0.250 0.387 0.514
Se 0.750 0.613 0.486
Se 0.750 0.484 0.627
Se 0.250 0.516 0.373
Se 0.250 0.442 0.762
Se 0.750 0.558 0.238
Se 0.250 0.737 0.718
Se 0.750 0.263 0.282
Se 0.750 0.672 0.854
Se 0.250 0.328 0.146
Se 0.250 0.587 0.980
Se 0.750 0.413 0.020
Se 0.250 0.894 0.951
Se 0.750 0.106 0.049
Se 0.250 0.190 0.911
Se 0.750 0.810 0.089
Se 0.750 0.253 0.765
Se 0.250 0.747 0.235
Se 0.750 0.964 0.816
Se 0.250 0.036 0.184
Se 0.250 0.900 0.448
Se 0.750 0.100 0.552
Se 0.250 0.198 0.416
Se 0.750 0.802 0.584
Se 0.750 0.971 0.321
Se 0.250 0.029 0.679
```

Calculated values
Crystal system: monoclinic
Raw formation energy: -522 meV/atom
Total magnetization: 0.0 μB per cell

## Rb2SnBi2 (GGA-PBEsol)

Data for a relaxed structure of Rb2SnBi2. Values from VASP.

Geometry as Quantum ESPRESSO input:
```
&SYSTEM
  ibrav = 0, nat = 10, ntyp = 3
/
ATOMIC_SPECIES
Bi 208.98 Bi.upf
Rb 85.47 Rb.upf
Sn 118.71 Sn.upf
CELL_PARAMETERS angstrom
5.879 0.000 0.000
0.000 8.143 0.000
0.000 0.000 8.143
ATOMIC_POSITIONS crystal
Bi 0.000 0.368 0.868
Bi 0.000 0.868 0.632
Bi 0.000 0.632 0.132
Bi 0.000 0.132 0.368
Rb 0.500 0.173 0.673
Rb 0.500 0.673 0.827
Rb 0.500 0.827 0.327
Rb 0.500 0.327 0.173
Sn 0.000 0.000 0.000
Sn 0.000 0.500 0.500
```

Calculated values
Crystal system: tetragonal
Total magnetization: 0.0 μB per cell
ΔE_f: -0.24 eV per atom

## Rb3SnBi (GGA-PBEsol)

Data for a relaxed structure of Rb3SnBi. Values from VASP.

Geometry as Quantum ESPRESSO input:
```
&SYSTEM
  ibrav = 0, nat = 5, ntyp = 3
/
ATOMIC_SPECIES
Bi 208.98 Bi.upf
Rb 85.47 Rb.upf
Sn 118.71 Sn.upf
CELL_PARAMETERS angstrom
-6.100 -3.087 -1.205
1.132 -4.314 5.320
-3.115 4.478 4.294
ATOMIC_POSITIONS crystal
Bi 0.000 0.000 0.000
Rb 0.000 0.500 0.000
Rb 0.000 0.000 0.500
Rb 0.500 0.000 0.000
Sn 0.500 0.500 0.500
```

Calculated values
Crystal system: cubic
Total magnetization: 2.0 μB per cell
ΔE_f: 0.27 eV per atom

## RbTcSnBi2 (GGA-PBEsol)

Data for a relaxed structure of RbTcSnBi2. Values from VASP.

Geometry as Quantum ESPRESSO input:
```
&SYSTEM
  ibrav = 0, nat = 5, ntyp = 4
/
ATOMIC_SPECIES
Tc 98.00 Tc.upf
Bi 208.98 Bi.upf
Rb 85.47 Rb.upf
Sn 118.71 Sn.upf
CELL_PARAMETERS angstrom
5.243 0.000 0.000
0.000 5.415 0.000
0.000 0.000 5.415
ATOMIC_POSITIONS crystal
Tc 0.000 0.000 0.000
Bi 0.000 0.000 0.500
Bi 0.000 0.500 0.000
Rb 0.500 0.500 0.500
Sn 0.500 0.000 0.000
```

Calculated values
Crystal system: tetragonal
Total magnetization: 1.3 μB per cell
ΔE_f: 0.29 eV per atom

## RbSrBi (GGA-PBEsol)

Data for a relaxed structure of RbSrBi. Values from VASP.

Geometry as Quantum ESPRESSO input:
```
&SYSTEM
  ibrav = 0, nat = 12, ntyp = 3
/
ATOMIC_SPECIES
Sr 87.62 Sr.upf
Bi 208.98 Bi.upf
Rb 85.47 Rb.upf
CELL_PARAMETERS angstrom
5.553 0.000 0.000
0.000 9.420 0.000
0.000 0.000 9.812
ATOMIC_POSITIONS crystal
Sr 0.750 0.852 0.922
Sr 0.250 0.648 0.422
Sr 0.250 0.148 0.078
Sr 0.750 0.352 0.578
Bi 0.750 0.210 0.892
Bi 0.250 0.290 0.392
Bi 0.250 0.790 0.108
Bi 0.750 0.710 0.608
Rb 0.750 0.986 0.329
Rb 0.250 0.514 0.829
Rb 0.250 0.014 0.671
Rb 0.750 0.486 0.171
```

Calculated values
Crystal system: orthorhombic
Total magnetization: 0.0 μB per cell
ΔE_f: -0.69 eV per atom

## Rb3TaBi (GGA-PBEsol)

Data for a relaxed structure of Rb3TaBi. Values from VASP.

Geometry as Quantum ESPRESSO input:
```
&SYSTEM
  ibrav = 0, nat = 5, ntyp = 3
/
ATOMIC_SPECIES
Bi 208.98 Bi.upf
Rb 85.47 Rb.upf
Ta 180.95 Ta.upf
CELL_PARAMETERS angstrom
-2.840 -4.531 -4.365
-0.640 -4.556 5.146
-6.259 2.522 1.455
ATOMIC_POSITIONS crystal
Bi 0.000 0.000 0.000
Rb 0.000 0.500 0.000
Rb 0.000 0.000 0.500
Rb 0.500 0.000 0.000
Ta 0.500 0.500 0.500
```

Calculated values
Crystal system: cubic
Total magnetization: 3.0 μB per cell
ΔE_f: 1.42 eV per atom

## RbTcBi3 (GGA-PBEsol)

Data for a relaxed structure of RbTcBi3. Values from VASP.

Geometry as Quantum ESPRESSO input:
```
&SYSTEM
  ibrav = 0, nat = 5, ntyp = 3
/
ATOMIC_SPECIES
Bi 208.98 Bi.upf
Rb 85.47 Rb.upf
Tc 98.00 Tc.upf
CELL_PARAMETERS angstrom
-4.001 3.340 1.482
-3.565 -4.050 -0.496
0.802 -1.342 5.188
ATOMIC_POSITIONS crystal
Bi 0.000 0.500 0.000
Bi 0.000 0.000 0.500
Bi 0.500 0.000 0.000
Rb 0.500 0.500 0.500
Tc 0.000 0.000 0.000
```

Calculated values
Crystal system: cubic
Total magnetization: 1.3 μB per cell
ΔE_f: 0.34 eV per atom

## Rb3BiTe (GGA-PBEsol)

Data for a relaxed structure of Rb3BiTe. Values from VASP.

Geometry as Quantum ESPRESSO input:
```
&SYSTEM
  ibrav = 0, nat = 5, ntyp = 3
/
ATOMIC_SPECIES
Te 127.60 Te.upf
Bi 208.98 Bi.upf
Rb 85.47 Rb.upf
CELL_PARAMETERS angstrom
-4.593 4.998 -0.044
-3.550 -3.305 -4.748
-3.518 -3.190 4.850
ATOMIC_POSITIONS crystal
Te 0.500 0.500 0.500
Bi 0.000 0.000 0.000
Rb 0.000 0.500 0.000
Rb 0.000 0.000 0.500
Rb 0.500 0.000 0.000
```

Calculated values
Crystal system: cubic
Raw formation energy: -63 meV/atom
Total magnetization: 2.0 μB per cell

## Rb2BiTe (GGA-PBEsol)

Data for a relaxed structure of Rb2BiTe. Values from VASP.

Geometry as Quantum ESPRESSO input:
```
&SYSTEM
  ibrav = 0, nat = 8, ntyp = 3
/
ATOMIC_SPECIES
Te 127.60 Te.upf
Bi 208.98 Bi.upf
Rb 85.47 Rb.upf
CELL_PARAMETERS angstrom
-1.309 -0.358 6.304
2.537 -6.518 3.455
5.525 3.003 4.616
ATOMIC_POSITIONS crystal
Te 0.250 0.500 0.500
Te 0.500 0.000 0.000
Bi 0.750 0.500 0.500
Bi 0.000 0.000 0.000
Rb 0.150 0.975 0.475
Rb 0.600 0.025 0.525
Rb 0.375 0.475 0.025
Rb 0.875 0.525 0.975
```

Calculated values
Crystal system: tetragonal
Raw formation energy: -318 meV/atom
Total magnetization: 1.4 μB per cell

## RbTi2Bi (GGA-PBEsol)

Data for a relaxed structure of RbTi2Bi. Values from VASP.

Geometry as Quantum ESPRESSO input:
```
&SYSTEM
  ibrav = 0, nat = 8, ntyp = 3
/
ATOMIC_SPECIES
Bi 208.98 Bi.upf
Rb 85.47 Rb.upf
Ti 47.87 Ti.upf
CELL_PARAMETERS angstrom
-0.312 -3.351 -3.647
4.053 -2.273 1.742
-7.729 -3.094 6.879
ATOMIC_POSITIONS crystal
Bi 0.250 0.750 0.500
Bi 0.000 0.000 0.000
Rb 0.750 0.250 0.500
Rb 0.500 0.500 0.000
Ti 0.135 0.875 0.250
Ti 0.115 0.375 0.250
Ti 0.125 0.885 0.750
Ti 0.625 0.865 0.750
```

Calculated values
Crystal system: tetragonal
Total magnetization: 0.0 μB per cell
ΔE_f: 0.74 eV per atom

## RbTlBi3 (GGA-PBEsol)

Data for a relaxed structure of RbTlBi3. Values from VASP.

Geometry as Quantum ESPRESSO input:
```
&SYSTEM
  ibrav = 0, nat = 5, ntyp = 3
/
ATOMIC_SPECIES
Tl 204.38 Tl.upf
Bi 208.98 Bi.upf
Rb 85.47 Rb.upf
CELL_PARAMETERS angstrom
-3.690 4.560 -0.497
-3.698 -2.579 3.786
2.715 2.685 4.481
ATOMIC_POSITIONS crystal
Tl 0.000 0.000 0.000
Bi 0.000 0.500 0.000
Bi 0.000 0.000 0.500
Bi 0.500 0.000 0.000
Rb 0.500 0.500 0.500
```

Calculated values
Crystal system: cubic
Total magnetization: 0.0 μB per cell
ΔE_f: 0.35 eV per atom

## Rb3TlBi (GGA-PBEsol)

Data for a relaxed structure of Rb3TlBi. Values from VASP.

Geometry as Quantum ESPRESSO input:
```
&SYSTEM
  ibrav = 0, nat = 5, ntyp = 3
/
ATOMIC_SPECIES
Tl 204.38 Tl.upf
Bi 208.98 Bi.upf
Rb 85.47 Rb.upf
CELL_PARAMETERS angstrom
7.027 0.000 0.000
0.000 7.027 0.000
0.000 0.000 7.027
ATOMIC_POSITIONS crystal
Tl 0.500 0.500 0.500
Bi 0.000 0.000 0.000
Rb 0.000 0.500 0.000
Rb 0.000 0.000 0.500
Rb 0.500 0.000 0.000
```

Calculated values
Crystal system: cubic
Total magnetization: 0.9 μB per cell
Energy above the most stable polymorph in this dataset: 0 meV per atom
ΔE_f: 0.15 eV per atom

## RbTl2Bi (GGA-PBEsol)

Data for a relaxed structure of RbTl2Bi. Values from VASP.

Geometry as Quantum ESPRESSO input:
```
&SYSTEM
  ibrav = 0, nat = 4, ntyp = 3
/
ATOMIC_SPECIES
Tl 204.38 Tl.upf
Bi 208.98 Bi.upf
Rb 85.47 Rb.upf
CELL_PARAMETERS angstrom
-0.361 5.663 -0.439
-5.014 2.595 0.716
-0.931 3.160 4.641
ATOMIC_POSITIONS crystal
Tl 0.250 0.250 0.250
Tl 0.750 0.750 0.750
Bi 0.500 0.500 0.500
Rb 0.000 0.000 0.000
```

Calculated values
Crystal system: cubic
Total magnetization: 0.0 μB per cell
ΔE_f: -0.17 eV per atom

## RbTlBi2 (GGA-PBEsol)

Data for a relaxed structure of RbTlBi2. Values from VASP.

Geometry as Quantum ESPRESSO input:
```
&SYSTEM
  ibrav = 0, nat = 8, ntyp = 3
/
ATOMIC_SPECIES
Tl 204.38 Tl.upf
Bi 208.98 Bi.upf
Rb 85.47 Rb.upf
CELL_PARAMETERS angstrom
6.838 0.000 0.000
3.419 6.472 0.000
3.419 0.000 6.472
ATOMIC_POSITIONS crystal
Tl 0.750 0.500 0.500
Tl 0.000 0.000 0.000
Bi 0.073 0.052 0.552
Bi 0.677 0.948 0.448
Bi 0.375 0.552 0.948
Bi 0.875 0.448 0.052
Rb 0.250 0.500 0.500
Rb 0.500 0.000 0.000
```

Calculated values
Crystal system: tetragonal
Total magnetization: 0.0 μB per cell
ΔE_f: -0.04 eV per atom

## RbZn2Bi2 (GGA-PBEsol)

Data for a relaxed structure of RbZn2Bi2. Values from VASP.

Geometry as Quantum ESPRESSO input:
```
&SYSTEM
  ibrav = 0, nat = 5, ntyp = 3
/
ATOMIC_SPECIES
Zn 65.41 Zn.upf
Bi 208.98 Bi.upf
Rb 85.47 Rb.upf
CELL_PARAMETERS angstrom
-2.727 1.171 -2.963
0.345 -3.769 -1.807
-5.193 -1.561 7.131
ATOMIC_POSITIONS crystal
Zn 0.250 0.750 0.500
Zn 0.750 0.250 0.500
Bi 0.359 0.359 0.718
Bi 0.641 0.641 0.282
Rb 0.000 0.000 0.000
```

Calculated values
Crystal system: tetragonal
Total magnetization: 0.0 μB per cell
ΔE_f: -0.14 eV per atom

## Rb3ZnBi (GGA-PBEsol)

Data for a relaxed structure of Rb3ZnBi. Values from VASP.

Geometry as Quantum ESPRESSO input:
```
&SYSTEM
  ibrav = 0, nat = 5, ntyp = 3
/
ATOMIC_SPECIES
Zn 65.41 Zn.upf
Bi 208.98 Bi.upf
Rb 85.47 Rb.upf
CELL_PARAMETERS angstrom
7.119 0.000 0.000
0.000 7.119 0.000
0.000 0.000 7.119
ATOMIC_POSITIONS crystal
Zn 0.500 0.500 0.500
Bi 0.000 0.000 0.000
Rb 0.000 0.500 0.000
Rb 0.000 0.000 0.500
Rb 0.500 0.000 0.000
```

Calculated values
Crystal system: cubic
Total magnetization: 0.0 μB per cell
ΔE_f: 0.12 eV per atom

## RbZnBi3 (GGA-PBEsol)

Data for a relaxed structure of RbZnBi3. Values from VASP.

Geometry as Quantum ESPRESSO input:
```
&SYSTEM
  ibrav = 0, nat = 5, ntyp = 3
/
ATOMIC_SPECIES
Zn 65.41 Zn.upf
Bi 208.98 Bi.upf
Rb 85.47 Rb.upf
CELL_PARAMETERS angstrom
-5.497 -0.142 -0.145
0.175 -1.313 -5.339
0.103 -5.340 1.316
ATOMIC_POSITIONS crystal
Zn 0.000 0.000 0.000
Bi 0.000 0.500 0.000
Bi 0.000 0.000 0.500
Bi 0.500 0.000 0.000
Rb 0.500 0.500 0.500
```

Calculated values
Crystal system: cubic
Total magnetization: 0.0 μB per cell
ΔE_f: 0.11 eV per atom

## RbZrBi3 (GGA-PBEsol)

Data for a relaxed structure of RbZrBi3. Values from VASP.

Geometry as Quantum ESPRESSO input:
```
&SYSTEM
  ibrav = 0, nat = 5, ntyp = 3
/
ATOMIC_SPECIES
Rb 85.47 Rb.upf
Bi 208.98 Bi.upf
Zr 91.22 Zr.upf
CELL_PARAMETERS angstrom
5.690 0.000 0.000
0.000 5.690 0.000
0.000 0.000 5.690
ATOMIC_POSITIONS crystal
Rb 0.500 0.500 0.500
Bi 0.000 0.500 0.000
Bi 0.000 0.000 0.500
Bi 0.500 0.000 0.000
Zr 0.000 0.000 0.000
```

Calculated values
Crystal system: cubic
Total magnetization: 0.0 μB per cell
ΔE_f: -0.11 eV per atom

## Rb3ZrBi (GGA-PBEsol)

Data for a relaxed structure of Rb3ZrBi. Values from VASP.

Geometry as Quantum ESPRESSO input:
```
&SYSTEM
  ibrav = 0, nat = 5, ntyp = 3
/
ATOMIC_SPECIES
Rb 85.47 Rb.upf
Bi 208.98 Bi.upf
Zr 91.22 Zr.upf
CELL_PARAMETERS angstrom
-6.346 0.392 0.181
-0.179 -4.813 4.154
0.393 4.140 4.813
ATOMIC_POSITIONS crystal
Rb 0.000 0.500 0.000
Rb 0.000 0.000 0.500
Rb 0.500 0.000 0.000
Bi 0.500 0.500 0.500
Zr 0.000 0.000 0.000
```

Calculated values
Crystal system: cubic
Total magnetization: 3.8 μB per cell
ΔE_f: 1.17 eV per atom